(1)
VASP calculation (SCAN) on a crystal of MnAlZn2 relaxed with PBEsol.

Structure (extended XYZ):
```
4
Lattice="3.628 0.000 0.000 0.000 3.628 0.000 -1.814 -1.814 4.013" Properties=species:S:1:pos:R:3 pbc="T T T"
Zn 1.814 0.000 2.007
Zn 0.000 1.814 2.007
Mn 0.000 0.000 0.000
Al 1.814 1.814 0.000
```

- space group = I4/mmm (139)
- ΔH_f (0 K) (kcal/mol of atoms) = -4.26

(2)
VASP calculation (SCAN) on a crystal of MnAlZn2 relaxed with PBEsol.

Structure (extended XYZ):
```
4
Lattice="-2.480 -1.021 0.267 -0.672 -1.341 2.239 -3.677 6.532 4.430" Properties=species:S:1:pos:R:3 pbc="T T T"
Zn -3.184 -2.272 2.550
Zn -5.126 3.139 5.208
Mn -1.713 1.059 1.742
Al -3.372 1.967 3.410
```

- space group = R3m (160)
- ΔH_f (0 K) (kcal/mol of atoms) = -1.24

(3)
VASP calculation (SCAN) on a crystal of MnAlZn2 relaxed with PBEsol.

Structure (extended XYZ):
```
4
Lattice="-1.228 -2.342 2.523 0.517 -2.774 -2.323 4.046 2.098 1.271" Properties=species:S:1:pos:R:3 pbc="T T T"
Zn 0.000 0.000 0.000
Zn 2.104 -1.617 -0.476
Mn 1.231 -1.401 1.946
Al -0.356 -2.558 0.100
```

- space group = I-4m2 (119)
- ΔH_f (0 K) (kcal/mol of atoms) = -3.40